# 1
First-principles (PBE-GGA) data for crystalline VZn2Sn at its relaxed geometry, as listed in Alexandria via LeMat-Bulk.

Geometry as CIF:
```
data_VZn2Sn
_cell_length_a 7.410
_cell_length_b 7.410
_cell_length_c 5.359
_cell_angle_alpha 90.00
_cell_angle_beta 90.00
_cell_angle_gamma 90.00
_symmetry_space_group_name_H-M 'I -4 2 d'
_symmetry_Int_Tables_number 122
_symmetry_space_group_name_Hall 'I -4 2bw'
loop_
_atom_site_label
_atom_site_fract_x
_atom_site_fract_y
_atom_site_fract_z
V1 0.000 0.000 0.000
Zn1 0.235 0.250 0.125
Sn1 0.000 0.000 0.500
```

The formation energy is 376 meV/atom. For the total magnetization, the calculation gives 0.98 μB per formula unit.


# 2
First-principles (PBE-GGA) data for crystalline VZn2Sn at its relaxed geometry, as listed in Alexandria via LeMat-Bulk.

Geometry as CIF:
```
data_VZn2Sn
_cell_length_a 4.018
_cell_length_b 4.018
_cell_length_c 4.057
_cell_angle_alpha 90.00
_cell_angle_beta 90.00
_cell_angle_gamma 90.00
_symmetry_space_group_name_H-M 'P 4/m m m'
_symmetry_Int_Tables_number 123
_symmetry_space_group_name_Hall '-P 4 2'
loop_
_atom_site_label
_atom_site_fract_x
_atom_site_fract_y
_atom_site_fract_z
V1 0.000 0.000 0.000
Zn1 0.000 0.500 0.500
Sn1 0.500 0.500 0.000
```

The formation energy is 100 meV/atom. For the total magnetization, the calculation gives 1.18 μB per formula unit.


# 3
First-principles (PBE-GGA) data for crystalline VZnSn3 at its relaxed geometry, as listed in Alexandria via LeMat-Bulk.

Geometry as CIF:
```
data_VZnSn3
_cell_length_a 5.161
_cell_length_b 5.161
_cell_length_c 5.161
_cell_angle_alpha 90.00
_cell_angle_beta 90.00
_cell_angle_gamma 90.00
_symmetry_space_group_name_H-M 'P m -3 m'
_symmetry_Int_Tables_number 221
_symmetry_space_group_name_Hall '-P 4 2 3'
loop_
_atom_site_label
_atom_site_fract_x
_atom_site_fract_y
_atom_site_fract_z
V1 0.000 0.000 0.000
Zn1 0.500 0.500 0.500
Sn1 0.000 0.000 0.500
```

The formation energy is 290 meV/atom. For the total magnetization, the calculation gives 0.24 μB per formula unit.


# 4
First-principles (PBE-GGA) data for crystalline V12ZnSn3 at its relaxed geometry, as listed in Alexandria via LeMat-Bulk.

Geometry as CIF:
```
data_V12ZnSn3
_cell_length_a 4.935
_cell_length_b 4.940
_cell_length_c 9.755
_cell_angle_alpha 90.00
_cell_angle_beta 90.00
_cell_angle_gamma 90.00
_symmetry_space_group_name_H-M 'P m m m'
_symmetry_Int_Tables_number 47
_symmetry_space_group_name_Hall '-P 2 2'
loop_
_atom_site_label
_atom_site_fract_x
_atom_site_fract_y
_atom_site_fract_z
V1 0.000 0.000 0.117
V2 0.000 0.000 0.370
V3 0.250 0.500 0.242
V4 0.500 0.249 0.500
V5 0.500 0.268 0.000
Zn1 0.000 0.500 0.000
Sn1 0.000 0.500 0.500
Sn2 0.500 0.000 0.249
```

The formation energy is -23 meV/atom. For the total magnetization, the calculation gives 0.12 μB per formula unit.


# 5
First-principles (PBE-GGA) data for crystalline VZnSn at its relaxed geometry, as listed in Alexandria via LeMat-Bulk.

Geometry as CIF:
```
data_VZnSn
_cell_length_a 4.683
_cell_length_b 3.562
_cell_length_c 14.097
_cell_angle_alpha 90.00
_cell_angle_beta 90.00
_cell_angle_gamma 90.00
_symmetry_space_group_name_H-M 'P m c 21'
_symmetry_Int_Tables_number 26
_symmetry_space_group_name_Hall 'P 2c -2'
loop_
_atom_site_label
_atom_site_fract_x
_atom_site_fract_y
_atom_site_fract_z
V1 0.235 0.248 0.000
Zn1 0.000 0.252 0.622
Zn2 0.500 0.251 0.169
Sn1 0.000 0.248 0.813
Sn2 0.500 0.252 0.370
```

The formation energy is 343 meV/atom. For the total magnetization, the calculation gives 0.13 μB per formula unit.


# 6
First-principles (PBE-GGA) data for crystalline VZnSn4 at its relaxed geometry, as listed in Alexandria via LeMat-Bulk.

Geometry as CIF:
```
data_VZnSn4
_cell_length_a 6.877
_cell_length_b 6.877
_cell_length_c 5.574
_cell_angle_alpha 90.00
_cell_angle_beta 90.00
_cell_angle_gamma 90.00
_symmetry_space_group_name_H-M 'P 4/m c c'
_symmetry_Int_Tables_number 124
_symmetry_space_group_name_Hall '-P 4 2c'
loop_
_atom_site_label
_atom_site_fract_x
_atom_site_fract_y
_atom_site_fract_z
V1 0.000 0.000 0.250
Zn1 0.500 0.500 0.250
Sn1 0.139 0.329 0.000
```

The formation energy is 33 meV/atom. For the total magnetization, the calculation gives 0.00 μB per formula unit.


# 7
First-principles (PBE-GGA) data for crystalline V2ZnSn2 at its relaxed geometry, as listed in Alexandria via LeMat-Bulk.

Geometry as CIF:
```
data_V2ZnSn2
_cell_length_a 8.049
_cell_length_b 8.049
_cell_length_c 2.929
_cell_angle_alpha 90.00
_cell_angle_beta 90.00
_cell_angle_gamma 90.00
_symmetry_space_group_name_H-M 'P 4/m b m'
_symmetry_Int_Tables_number 127
_symmetry_space_group_name_Hall '-P 4 2ab'
loop_
_atom_site_label
_atom_site_fract_x
_atom_site_fract_y
_atom_site_fract_z
V1 0.106 0.394 0.000
Zn1 0.000 0.000 0.500
Sn1 0.184 0.684 0.500
```

The formation energy is 288 meV/atom. For the total magnetization, the calculation gives 0.00 μB per formula unit.


# 8
First-principles (PBE-GGA) data for crystalline VZn2Sn2 at its relaxed geometry, as listed in Alexandria via LeMat-Bulk.

Geometry as CIF:
```
data_VZn2Sn2
_cell_length_a 7.089
_cell_length_b 7.089
_cell_length_c 3.935
_cell_angle_alpha 90.00
_cell_angle_beta 90.00
_cell_angle_gamma 90.00
_symmetry_space_group_name_H-M 'P 4/m b m'
_symmetry_Int_Tables_number 127
_symmetry_space_group_name_Hall '-P 4 2ab'
loop_
_atom_site_label
_atom_site_fract_x
_atom_site_fract_y
_atom_site_fract_z
V1 0.000 0.000 0.000
Zn1 0.127 0.373 0.000
Sn1 0.178 0.678 0.500
```

The formation energy is 280 meV/atom. For the total magnetization, the calculation gives 2.66 μB per formula unit.


# 9
First-principles (PBE-GGA) data for crystalline V2ZnSn at its relaxed geometry, as listed in Alexandria via LeMat-Bulk.

Geometry as CIF:
```
data_V2ZnSn
_cell_length_a 3.865
_cell_length_b 3.865
_cell_length_c 4.171
_cell_angle_alpha 90.00
_cell_angle_beta 90.00
_cell_angle_gamma 90.00
_symmetry_space_group_name_H-M 'P 4/m m m'
_symmetry_Int_Tables_number 123
_symmetry_space_group_name_Hall '-P 4 2'
loop_
_atom_site_label
_atom_site_fract_x
_atom_site_fract_y
_atom_site_fract_z
V1 0.000 0.500 0.000
Zn1 0.000 0.000 0.500
Sn1 0.500 0.500 0.500
```

The formation energy is 73 meV/atom. For the total magnetization, the calculation gives 0.00 μB per formula unit.


# 10
First-principles (PBE-GGA) data for crystalline Zr12VSn6 at its relaxed geometry, as listed in Alexandria via LeMat-Bulk.

Geometry as CIF:
```
data_Zr12VSn6
_cell_length_a 12.1486
_cell_length_b 12.1486
_cell_length_c 11.0778
_cell_angle_alpha 90.00
_cell_angle_beta 90.00
_cell_angle_gamma 120.00
_symmetry_space_group_name_H-M 'R -3'
_symmetry_Int_Tables_number 148
_symmetry_space_group_name_Hall '-R 3'
loop_
_atom_site_label
_atom_site_fract_x
_atom_site_fract_y
_atom_site_fract_z
Zr1 0.0255 0.8559 0.3810
Zr2 0.0795 0.8850 0.8694
V1 0.0000 0.0000 0.0000
Sn1 0.0366 0.6281 0.2967
```

The formation energy is 13 meV/atom. For the total magnetization, the calculation gives 0.00 μB per formula unit.


# 11
First-principles (PBE-GGA) data for crystalline Zr2V2Sn at its relaxed geometry, as listed in Alexandria via LeMat-Bulk.

Geometry as CIF:
```
data_Zr2V2Sn
_cell_length_a 7.220
_cell_length_b 7.220
_cell_length_c 3.680
_cell_angle_alpha 90.00
_cell_angle_beta 90.00
_cell_angle_gamma 90.00
_symmetry_space_group_name_H-M 'P 4/m b m'
_symmetry_Int_Tables_number 127
_symmetry_space_group_name_Hall '-P 4 2ab'
loop_
_atom_site_label
_atom_site_fract_x
_atom_site_fract_y
_atom_site_fract_z
Zr1 0.190 0.310 0.000
V1 0.103 0.603 0.500
Sn1 0.000 0.000 0.500
```

The formation energy is -77 meV/atom. For the total magnetization, the calculation gives 0.00 μB per formula unit.


# 12
First-principles (PBE-GGA) data for crystalline Zr3VSn at its relaxed geometry, as listed in Alexandria via LeMat-Bulk.

Geometry as CIF:
```
data_Zr3VSn
_cell_length_a 4.887
_cell_length_b 4.887
_cell_length_c 4.887
_cell_angle_alpha 90.00
_cell_angle_beta 90.00
_cell_angle_gamma 90.00
_symmetry_space_group_name_H-M 'P m -3 m'
_symmetry_Int_Tables_number 221
_symmetry_space_group_name_Hall '-P 4 2 3'
loop_
_atom_site_label
_atom_site_fract_x
_atom_site_fract_y
_atom_site_fract_z
Zr1 0.000 0.000 0.500
V1 0.000 0.000 0.000
Sn1 0.500 0.500 0.500
```

The formation energy is 392 meV/atom. For the total magnetization, the calculation gives 0.00 μB per formula unit.